1.
CrCd2Ru: optimized geometry, PBE-GGA.

Properties
E_tot: -4.73 eV/atom
energy of formation: 457 meV/atom

Cell lengths 5.9068, 8.0194, 2.9809 Å; angles 90.00, 90.00, 90.00 degrees
Last column: nearest neighbours and their distance in Å.
Space group Cmmm (No. 65)
Inequivalent atoms, fractional coordinates:
Cr: 0.0000 0.0000 0.0000 (multiplicity 2)  8 Cd 2.90, 2 Ru 2.95, 2 Cr 2.98
Cd: 0.2500 0.2500 0.5000 (multiplicity 4)  4 Cr 2.90, 4 Ru 2.90, 4 Cd 2.95-2.98
Ru: 0.0000 0.5000 0.0000 (multiplicity 2)  8 Cd 2.90, 2 Cr 2.95, 2 Ru 2.98

***

2.
TcRhNF2: optimized geometry, PBE-GGA.

Properties
formation energy from raw total energies: 0.2672 eV/atom
E_tot: -5.69 eV/atom

Cell lengths 4.4611, 4.4611, 3.6556 Å; angles 90.00, 90.00, 90.00 degrees
Last column: nearest neighbours and their distance in Å.
Space group P4/mmm (No. 123)
Inequivalent atoms, fractional coordinates:
Tc: 0.0000 0.0000 0.0000 (multiplicity 1)  8 F 2.88, 4 N 3.15
Rh: 0.5000 0.5000 0.5000 (multiplicity 1)  2 N 1.83
N: 0.5000 0.5000 0.0000 (multiplicity 1)  2 Rh 1.83
F: 0.0000 0.5000 0.5000 (multiplicity 2)  2 Rh 2.23

***

3.
CsRb2TiF6: optimized geometry, PBE-GGA.

Properties
formation energy from raw total energies: -2.9800 eV/atom
E_tot: -5.17 eV/atom

Cell lengths 9.5673, 9.5673, 9.5673 Å; angles 90.00, 90.00, 90.00 degrees
Last column: nearest neighbours and their distance in Å.
Space group Fm-3m (No. 225)
Inequivalent atoms, fractional coordinates:
Cs: 0.0000 0.0000 0.0000 (multiplicity 4)  6 F 2.79
Rb: 0.2500 0.2500 0.2500 (multiplicity 8)  12 F 3.41
Ti: 0.0000 0.0000 0.5000 (multiplicity 4)  6 F 1.99
F: 0.0000 0.0000 0.2917 (multiplicity 24)  1 Ti 1.99

***

4.
Pr12DyTm6: optimized geometry, PBE-GGA.

Properties
E_tot: -4.55 eV/atom
energy of formation: 127 meV/atom

Cell lengths 12.1854, 12.1854, 15.3831 Å; angles 90.00, 90.00, 120.00 degrees
Last column: nearest neighbours and their distance in Å.
Space group R-3 (No. 148, hexagonal axes)
Inequivalent atoms, fractional coordinates:
Pr: 0.0000 0.1731 0.1918 (multiplicity 18)  4 Pr 3.48-3.65, 4 Tm 3.55-3.73, 1 Dy 3.63
Pr: 0.0487 0.1995 0.4159 (multiplicity 18)  3 Tm 3.39-3.53, 4 Pr 3.39-3.64
Dy: 0.0000 0.0000 0.0000 (multiplicity 3)  6 Tm 3.48, 6 Pr 3.63
Tm: 0.0183 0.5877 0.6884 (multiplicity 18)  7 Pr 3.39-3.73, 1 Dy 3.48, 2 Tm 3.52

***

5.
LaSm3Cd3: optimized geometry, PBE-GGA.

Properties
E_tot: -3.23 eV/atom
energy of formation: -112 meV/atom

Cell lengths 8.2769, 8.2769, 20.9493 Å; angles 90.00, 90.00, 120.00 degrees
Last column: nearest neighbours and their distance in Å.
Space group R-3 (No. 148, hexagonal axes)
Inequivalent atoms, fractional coordinates:
La: 0.0000 0.0000 0.1562 (multiplicity 6)  6 Cd 3.42-3.67, 6 Sm 3.47-3.65
Sm: 0.0506 0.5909 0.3783 (multiplicity 18)  4 Cd 3.19-3.51, 2 Sm 3.38, 1 La 3.47
Cd: 0.0101 0.7851 0.5572 (multiplicity 18)  4 Cd 3.01-3.16, 3 Sm 3.19-3.31

***

6.
Nb2In2Rh3: optimized geometry, PBE-GGA.

Properties
E_tot: -7.12 eV/atom
energy of formation: -308 meV/atom

Cell lengths 7.7950, 4.5069, 7.8068 Å; angles 90.00, 109.35, 90.00 degrees
Last column: nearest neighbours and their distance in Å.
Space group C2/m (No. 12)
Inequivalent atoms, fractional coordinates:
Nb: 0.1183 0.0000 0.3560 (multiplicity 4)  7 Rh 2.63-2.81
In: 0.1298 0.5000 0.8885 (multiplicity 4)  5 Rh 2.86-2.94, 3 In 3.08, 3 Nb 3.16
Rh: 0.0000 0.5000 0.5000 (multiplicity 2)  6 Nb 2.81, 2 In 2.86, 6 Rh 3.03-3.04
Rh: 0.2380 0.0000 0.7130 (multiplicity 4)  4 Nb 2.63-2.65, 4 In 2.90-2.94

***

7.
Sr2YZr: optimized geometry, PBE-GGA.

Properties
E_tot: -4.11 eV/atom
energy of formation: 485 meV/atom

Cell lengths 3.8423, 5.9804, 12.6106 Å; angles 90.00, 90.00, 90.00 degrees
Last column: nearest neighbours and their distance in Å.
Space group Immm (No. 71)
Inequivalent atoms, fractional coordinates:
Sr: 0.0000 0.0000 0.2305 (multiplicity 4)  2 Zr 3.48, 6 Sr 3.59-3.84
Y: 0.0000 0.5000 0.0000 (multiplicity 2)  4 Zr 3.55, 2 Y 3.84, 4 Sr 3.90
Zr: 0.0000 0.5000 0.5000 (multiplicity 2)  4 Sr 3.48, 4 Y 3.55, 2 Zr 3.84

***

8.
Pa4Te4Se: optimized geometry, PBE-GGA.

Properties
formation energy from raw total energies: -0.8664 eV/atom
E_tot: -6.87 eV/atom

Cell lengths 14.5422, 4.1261, 10.4009 Å; angles 90.00, 121.24, 90.00 degrees
Last column: nearest neighbours and their distance in Å.
Space group C2/m (No. 12)
Inequivalent atoms, fractional coordinates:
Pa: 0.0964 0.0000 0.4184 (multiplicity 4)  2 Se 2.86, 4 Te 3.06-3.16
Pa: 0.1943 0.5000 0.7836 (multiplicity 4)  1 Se 2.84, 5 Te 3.08-3.11
Te: 0.0966 0.0000 0.9042 (multiplicity 4)  4 Pa 3.06-3.11
Te: 0.1769 0.5000 0.2795 (multiplicity 4)  5 Pa 3.08-3.16
Se: 0.0000 0.5000 0.5000 (multiplicity 2)  6 Pa 2.84-2.86

***

Total magnetization across the listed records, respectively: 10.64; 4.43; 4.00; 0.00; 0.00; 0.05; 2.76; 5.88 μB per cell.